1.
# PBE-GGA Mn2VOs2, relaxed
data_Mn2VOs2
_chemical_formula_sum 'Mn4 V2 Os4'
_cell_length_a 7.153
_cell_length_b 7.153
_cell_length_c 2.645
_cell_angle_alpha 90.00
_cell_angle_beta 90.00
_cell_angle_gamma 90.00
_symmetry_space_group_name_H-M 'P 4/m b m'
_symmetry_Int_Tables_number 127
_symmetry_space_group_name_Hall '-P 4 2ab'
loop_
_atom_site_label
_atom_site_fract_x
_atom_site_fract_y
_atom_site_fract_z
Mn1 0.168 0.332 0.000
V1 0.000 0.000 0.500
Os1 0.129 0.629 0.500
# Density ... 13.28 Mg/m³
# Energy relative to the lowest polymorph listed for this composition ... 65.4 meV per atom
# E_form ... 169 meV per atom
# Fermi-level density of states ... 9.604 states/eV/cell

2.
# PBE-GGA Ti2TlFe2, relaxed
data_Ti2TlFe2
_chemical_formula_sum 'Ti4 Tl2 Fe4'
_cell_length_a 7.096
_cell_length_b 7.096
_cell_length_c 3.003
_cell_angle_alpha 90.00
_cell_angle_beta 90.00
_cell_angle_gamma 90.00
_symmetry_space_group_name_H-M 'P 4/m b m'
_symmetry_Int_Tables_number 127
_symmetry_space_group_name_Hall '-P 4 2ab'
loop_
_atom_site_label
_atom_site_fract_x
_atom_site_fract_y
_atom_site_fract_z
Ti1 0.150 0.350 0.000
Tl1 0.000 0.000 0.500
Fe1 0.137 0.637 0.500
# Density ... 9.04 Mg/m³
# E_form ... 44 meV per atom
# Fermi-level density of states ... 11.763 states/eV/cell

> The highest density belongs to which entry?

Mn2VOs2

> What is the Fermi-level density of states in the second record?

11.763 states/eV/cell

> Which value of Fermi-level density of states does entry 1 give?

9.604 states/eV/cell

> What is the density in the first record?

13.28 Mg/m³